No. 1
VASP calculation (PBE) on a relaxed LiPdBr crystal.

Cell and atoms, written as CIF:
```
data_LiPdBr
_symmetry_space_group_name_H-M 'P 1'
_symmetry_Int_Tables_number 1
_cell_length_a 4.4132
_cell_length_b 4.4132
_cell_length_c 3.5327
_cell_angle_alpha 90.00
_cell_angle_beta 90.00
_cell_angle_gamma 120.00
loop_
_symmetry_equiv_pos_as_xyz
'x,y,z'
loop_
_atom_site_label
_atom_site_type_symbol
_atom_site_fract_x
_atom_site_fract_y
_atom_site_fract_z
_atom_site_occupancy
Br1 Br 0.0000 0.0000 0.0000 1
Li1 Li 0.6667 0.3333 0.5000 1
Pd1 Pd 0.3333 0.6667 0.0000 1
```

V = 59.6 Å³/cell
Excess energy over the best structure of this formula in the dataset = 225 meV/atom
Uncorrected formation energy = -0.415 eV per atom
Final energy = -3.341 eV per atom



No. 2
VASP calculation (PBE) on a relaxed Pm6AlGe4 crystal.

Cell and atoms, written as CIF:
```
data_Pm6AlGe4
_symmetry_space_group_name_H-M 'P 1'
_symmetry_Int_Tables_number 1
_cell_length_a 7.6215
_cell_length_b 7.6215
_cell_length_c 7.6215
_cell_angle_alpha 89.08
_cell_angle_beta 120.53
_cell_angle_gamma 120.53
loop_
_symmetry_equiv_pos_as_xyz
'x,y,z'
loop_
_atom_site_label
_atom_site_type_symbol
_atom_site_fract_x
_atom_site_fract_y
_atom_site_fract_z
_atom_site_occupancy
Al1 Al 0.0000 0.0000 0.0000 1
Ge1 Ge 0.0000 0.2858 0.5812 1
Ge2 Ge 0.0000 0.5812 0.2858 1
Ge3 Ge 0.7047 0.4188 0.4188 1
Ge4 Ge 0.2953 0.7142 0.7142 1
Pm1 Pm 0.0000 0.5518 0.9086 1
Pm2 Pm 0.6432 0.0914 0.0914 1
Pm3 Pm 0.0000 0.9086 0.5518 1
Pm4 Pm 0.5000 0.0000 0.5000 1
Pm5 Pm 0.5000 0.5000 0.0000 1
Pm6 Pm 0.3568 0.4482 0.4482 1
```

V = 310.5 Å³/cell
Formation energy from the elements = -0.43 eV/atom
Final energy = -5.039 eV per atom



No. 3
VASP calculation (PBE) on a relaxed CrMoBr crystal.

Cell and atoms, written as CIF:
```
data_CrMoBr
_symmetry_space_group_name_H-M 'P 1'
_symmetry_Int_Tables_number 1
_cell_length_a 3.2253
_cell_length_b 4.5295
_cell_length_c 10.2801
_cell_angle_alpha 100.49
_cell_angle_beta 89.42
_cell_angle_gamma 69.14
loop_
_symmetry_equiv_pos_as_xyz
'x,y,z'
loop_
_atom_site_label
_atom_site_type_symbol
_atom_site_fract_x
_atom_site_fract_y
_atom_site_fract_z
_atom_site_occupancy
Mo1 Mo 0.7218 0.7209 0.1711 1
Mo2 Mo 0.0375 0.0955 0.0739 1
Cr1 Cr 0.3827 0.3916 0.2818 1
Cr2 Cr 0.0566 0.0384 0.3615 1
Br1 Br 0.5858 0.0118 0.8710 1
Br2 Br 0.3855 0.3702 0.5277 1
```

V = 137.5 Å³/cell
Excess energy over the best structure of this formula in the dataset = 82 meV/atom
Uncorrected formation energy = 0.199 eV per atom
Final energy = -7.176 eV per atom



No. 4
VASP calculation (PBE) on a relaxed PuUCl2 crystal.

Cell and atoms, written as CIF:
```
data_PuUCl2
_symmetry_space_group_name_H-M 'P 1'
_symmetry_Int_Tables_number 1
_cell_length_a 3.7510
_cell_length_b 3.7510
_cell_length_c 7.2928
_cell_angle_alpha 75.10
_cell_angle_beta 75.10
_cell_angle_gamma 60.00
loop_
_symmetry_equiv_pos_as_xyz
'x,y,z'
loop_
_atom_site_label
_atom_site_type_symbol
_atom_site_fract_x
_atom_site_fract_y
_atom_site_fract_z
_atom_site_occupancy
Cl1 Cl 0.7506 0.7506 0.7483 1
Cl2 Cl 0.2494 0.2494 0.2517 1
U1 U 0.0000 0.0000 0.0000 1
Pu1 Pu 0.5000 0.5000 0.5000 1
```

V = 84.9 Å³/cell
Uncorrected formation energy = -0.768 eV per atom
Final energy = -8.096 eV per atom



No. 5
VASP calculation (PBE) on a relaxed CoP2Rh2 crystal.

Cell and atoms, written as CIF:
```
data_CoP2Rh2
_symmetry_space_group_name_H-M 'P 1'
_symmetry_Int_Tables_number 1
_cell_length_a 5.8111
_cell_length_b 5.8111
_cell_length_c 3.7534
_cell_angle_alpha 90.00
_cell_angle_beta 90.00
_cell_angle_gamma 90.00
loop_
_symmetry_equiv_pos_as_xyz
'x,y,z'
loop_
_atom_site_label
_atom_site_type_symbol
_atom_site_fract_x
_atom_site_fract_y
_atom_site_fract_z
_atom_site_occupancy
Rh1 Rh 0.3292 0.1708 0.5000 1
Rh2 Rh 0.1708 0.6708 0.5000 1
Rh3 Rh 0.8292 0.3292 0.5000 1
Rh4 Rh 0.6708 0.8292 0.5000 1
Co1 Co 0.0000 0.0000 0.0000 1
Co2 Co 0.5000 0.5000 0.0000 1
P1 P 0.6402 0.1402 0.0000 1
P2 P 0.8598 0.6402 0.0000 1
P3 P 0.3598 0.8598 0.0000 1
P4 P 0.1402 0.3598 0.0000 1
```

V = 126.7 Å³/cell
Formation energy from the elements = -0.25 eV/atom
Final energy = -6.775 eV per atom



No. 6
VASP calculation (PBE) on a relaxed Ac4TePbSe2 crystal.

Cell and atoms, written as CIF:
```
data_Ac4TePbSe2
_symmetry_space_group_name_H-M 'P 1'
_symmetry_Int_Tables_number 1
_cell_length_a 9.2976
_cell_length_b 9.2976
_cell_length_c 9.2006
_cell_angle_alpha 119.66
_cell_angle_beta 119.66
_cell_angle_gamma 89.97
loop_
_symmetry_equiv_pos_as_xyz
'x,y,z'
loop_
_atom_site_label
_atom_site_type_symbol
_atom_site_fract_x
_atom_site_fract_y
_atom_site_fract_z
_atom_site_occupancy
Pb1 Pb 0.5000 0.5000 0.5000 1
Pb2 Pb 0.0000 0.0000 0.0000 1
Se1 Se 0.5000 0.5000 0.0000 1
Se2 Se 0.0000 0.0000 0.5000 1
Se3 Se 0.5000 0.0000 0.0000 1
Se4 Se 0.5000 0.0000 0.5000 1
Ac1 Ac 0.2602 0.7665 0.5134 1
Ac2 Ac 0.2665 0.7602 0.0134 1
Ac3 Ac 0.7398 0.2335 0.4866 1
Ac4 Ac 0.7436 0.7564 0.0070 1
Ac5 Ac 0.7335 0.2398 0.9866 1
Ac6 Ac 0.2564 0.2436 0.9930 1
Ac7 Ac 0.7436 0.7564 0.4930 1
Ac8 Ac 0.2564 0.2436 0.5070 1
Te1 Te 0.0000 0.5000 0.5000 1
Te2 Te 0.0000 0.5000 0.0000 1
```

V = 568.3 Å³/cell
Uncorrected formation energy = -1.457 eV per atom
Final energy = -5.239 eV per atom



No. 7
VASP calculation (PBE) on a relaxed Ba2HgPd crystal.

Cell and atoms, written as CIF:
```
data_Ba2HgPd
_symmetry_space_group_name_H-M 'P 1'
_symmetry_Int_Tables_number 1
_cell_length_a 7.3768
_cell_length_b 7.3768
_cell_length_c 7.3768
_cell_angle_alpha 64.35
_cell_angle_beta 148.90
_cell_angle_gamma 125.22
loop_
_symmetry_equiv_pos_as_xyz
'x,y,z'
loop_
_atom_site_label
_atom_site_type_symbol
_atom_site_fract_x
_atom_site_fract_y
_atom_site_fract_z
_atom_site_occupancy
Ba1 Ba 0.0000 0.7719 0.7719 1
Ba2 Ba 0.0000 0.2281 0.2281 1
Hg1 Hg 0.0000 0.5000 0.5000 1
Pd1 Pd 0.0000 0.0000 0.0000 1
```

V = 167.6 Å³/cell
Formation energy from the elements = 0.34 eV/atom
Final energy = -1.997 eV per atom



No. 8
VASP calculation (PBE) on a relaxed AlGaNiRu crystal.

Cell and atoms, written as CIF:
```
data_AlGaNiRu
_symmetry_space_group_name_H-M 'P 1'
_symmetry_Int_Tables_number 1
_cell_length_a 4.1920
_cell_length_b 4.1920
_cell_length_c 4.1920
_cell_angle_alpha 60.00
_cell_angle_beta 60.00
_cell_angle_gamma 60.00
loop_
_symmetry_equiv_pos_as_xyz
'x,y,z'
loop_
_atom_site_label
_atom_site_type_symbol
_atom_site_fract_x
_atom_site_fract_y
_atom_site_fract_z
_atom_site_occupancy
Ru1 Ru 0.2500 0.2500 0.2500 1
Ni1 Ni 0.7500 0.7500 0.7500 1
Al1 Al 0.0000 0.0000 0.0000 1
Ga1 Ga 0.5000 0.5000 0.5000 1
```

V = 52.1 Å³/cell
Excess energy over the best structure of this formula in the dataset = 50 meV/atom
Formation energy from the elements = -0.51 eV/atom
Final energy = -5.969 eV per atom



> Number 7 is which compound?

Ba2HgPd



> Look up the V of the eighth one.

52.1 Å³/cell



> Among the records above, which one has the highest V?

Ac4TePbSe2